A relaxed structure of Sm2CdN. Source: Alexandria via LeMat-Bulk, functional PBE-GGA.

The structure belongs to space group Cmcm (No. 63); the cell edges are 3.537, 19.642 and 5.067 Å and the angles 90.00°, 90.00° and 90.00°. The asymmetric unit holds Sm at (0.000, 0.112, 0.250), Sm at (0.000, 0.289, 0.250), Cd at (0.000, 0.459, 0.250) and N at (0.000, 0.300, 0.750).

The value obtained for the magnetization is 0.000 Bohr magnetons per cell. The calculation puts the formation energy without anion corrections at -0.895 eV/atom. As for the total energy: -5.56 eV/atom. The value obtained for the energy above the lowest structure with this stoichiometry is 0 meV per atom.